i.
A crystal of SrAgOs2 relaxed with PBEsol. Source: Alexandria, functional meta-GGA SCAN.

Structure (extended XYZ):
```
4
Lattice="2.7946 -0.0011 0.0000 -0.3395 4.9256 0.0000 -1.2275 -2.4622 5.0594" Properties=species:S:1:pos:R:3 pbc="T T T"
Os 0.6138 1.2311 2.5297
Os -0.6138 -1.2311 2.5297
Ag -0.1697 2.4628 0.0000
Sr 1.3973 -0.0006 0.0000
```

Its size of the total moment is 0.00 Bohr magnetons per cell. The space group is C2/m.


ii.
A crystal of SrAgOs2 relaxed with PBEsol. Source: Alexandria, functional meta-GGA SCAN.

Structure (extended XYZ):
```
4
Lattice="-1.6908 2.1515 -0.4819 -2.1181 0.5155 1.7229 4.7419 6.8678 6.0153" Properties=species:S:1:pos:R:3 pbc="T T T"
Sr 0.4665 4.7674 3.6281
Os 0.8190 7.2697 5.5533
Os 0.1140 2.2651 1.7029
Ag 0.0000 0.0000 0.0000
```

Its size of the total moment is 0.00 Bohr magnetons per cell. The space group is R-3m.


iii.
A crystal of SrAgOs2 relaxed with PBEsol. Source: Alexandria, functional meta-GGA SCAN.

Structure (extended XYZ):
```
4
Lattice="2.8797 -0.0032 0.0000 -0.4287 4.8839 0.0000 0.0000 0.0000 5.1057" Properties=species:S:1:pos:R:3 pbc="T T T"
Ag 1.4398 -0.0016 2.5529
Os 0.8710 1.1904 0.0000
Os 1.5800 3.6902 0.0000
Sr -0.2143 2.4420 2.5529
```

Its size of the total moment is 0.01 Bohr magnetons per cell. The space group is P2/m.


Least stable structure: ii


i.
A crystal of TaAgOs2 relaxed with PBEsol. Source: Alexandria, functional meta-GGA SCAN.

Structure (extended XYZ):
```
4
Lattice="2.8045 0.0000 0.0000 1.4023 2.4288 0.0000 1.4023 0.8096 9.1136" Properties=species:S:1:pos:R:3 pbc="T T T"
Os 4.2068 2.4288 6.7424
Os 1.4023 0.8096 2.3712
Ta 2.8045 1.6192 4.5568
Ag 0.0000 0.0000 0.0000
```

Its size of the total moment is 0.00 Bohr magnetons per cell. The space group is R-3m.


ii.
A crystal of TaAgOs2 relaxed with PBEsol. Source: Alexandria, functional meta-GGA SCAN.

Structure (extended XYZ):
```
4
Lattice="3.9919 0.0000 0.0000 0.0000 3.9919 0.0000 -1.9960 -1.9960 3.8293" Properties=species:S:1:pos:R:3 pbc="T T T"
Ag 0.0000 0.0000 0.0000
Ta 1.9960 1.9960 0.0000
Os 0.0000 1.9960 1.9147
Os 1.9960 0.0000 1.9147
```

Its size of the total moment is 0.00 Bohr magnetons per cell. The space group is I4/mmm.


Least stable structure: i


i.
A crystal of TaAg2Os relaxed with PBEsol. Source: Alexandria, functional meta-GGA SCAN.

Structure (extended XYZ):
```
4
Lattice="3.4819 0.0000 0.0000 0.0000 3.4819 0.0000 0.0000 0.0000 5.3337" Properties=species:S:1:pos:R:3 pbc="T T T"
Ta 1.7410 1.7410 2.6668
Ag 0.0000 0.0000 1.3192
Ag 0.0000 0.0000 4.0145
Os 1.7410 1.7410 0.0000
```

Its size of the total moment is 0.00 Bohr magnetons per cell. The space group is P4/mmm.


ii.
A crystal of TaAg2Os relaxed with PBEsol. Source: Alexandria, functional meta-GGA SCAN.

Structure (extended XYZ):
```
4
Lattice="2.8119 -0.0044 0.0040 1.4021 2.4374 0.0040 1.4180 0.8187 9.3920" Properties=species:S:1:pos:R:3 pbc="T T T"
Ag 4.2211 2.4370 7.0160
Ag 1.4174 0.8183 9.3756
Ta 1.4123 0.8154 2.4531
Os 2.8157 1.6257 4.6473
```

Its size of the total moment is 0.00 Bohr magnetons per cell. The space group is Cm.


Least stable structure: i